Below is a relaxed K2ScSbS4 crystal, with properties calculated at the PBE-GGA level.

Density   3147 kg/m³
E_form (uncorrected)   -1185 meV per atom

Unit cell a=8.228 b=8.228 c=8.096 alpha=119.47 beta=119.47 gamma=89.97
Atoms (fractional coordinates):
S: 0.197 0.721 0.959
S: 0.779 0.303 0.541
Sc: 0.000 0.500 0.000
Sb: 0.000 0.000 0.000
S: 0.773 0.727 0.977
K: 0.000 0.000 0.500
Sb: 0.500 0.500 0.500
K: 0.500 0.500 0.000
S: 0.227 0.273 0.023
K: 0.500 0.000 0.000
K: 0.500 0.000 0.500
S: 0.227 0.273 0.477
S: 0.803 0.279 0.041
S: 0.773 0.727 0.523
S: 0.221 0.697 0.459
Sc: 0.000 0.500 0.500